Material: Sr2NbIrN4O2
Method: DFT, PBE-GGA
State: relaxed

Output
ΔE to the lowest computed polymorph	53	meV per atom
symmetry	P1
total magnetic moment	0.068	μB/cell
theoretical density	7.07	g/cm³

```
Sr2NbIrN4O2
1.0
5.649 0.000 0.000
0.008 5.659 0.000
0.041 0.009 8.053
Sr Nb Ir N O
4 2 2 8 4
direct
0.000 0.000 0.000
0.005 0.002 0.499
0.508 0.484 0.998
0.516 0.489 0.499
0.004 0.495 0.743
0.503 0.988 0.265
0.019 0.506 0.230
0.502 0.988 0.765
0.002 0.514 0.999
0.259 0.746 0.736
0.262 0.236 0.759
0.272 0.722 0.258
0.504 0.014 0.501
0.510 0.964 0.000
0.749 0.748 0.735
0.751 0.237 0.757
0.006 0.458 0.485
0.236 0.230 0.223
0.737 0.274 0.232
0.792 0.770 0.262
```